YMg2Mn (PBE-GGA, optimized geometry); final energy = -17.7 eV/cell; size of the total moment = 0.790 μB per atom; DOS(E_F) = 3.5 states/eV per cell
1.0
-5.099 1.928 1.325
2.479 -2.646 4.281
1.295 2.765 0.959
Y Mn Mg
1 1 2
Direct
0.000 0.500 0.500
0.500 0.000 0.500
0.500 0.500 0.000
0.000 0.000 0.000


YMg2Mn (PBE-GGA, optimized geometry); final energy = -18.3 eV/cell; size of the total moment = 1.054 μB per atom; DOS(E_F) = 2.9 states/eV per cell
1.0
4.888 -0.981 -0.679
1.164 4.847 0.679
-2.642 -2.534 3.452
Mn Mg Y
1 2 1
Direct
0.499 0.499 0.000
0.001 0.001 0.000
0.250 0.750 0.500
0.750 0.250 0.500


YMg2Mn (PBE-GGA, optimized geometry); final energy = -17.7 eV/cell; size of the total moment = 0.836 μB per atom; DOS(E_F) = 3.9 states/eV per cell
1.0
6.175 0.016 0.004
-2.267 4.984 0.003
0.624 0.712 3.000
Mg Y Mn
2 1 1
Direct
0.000 0.000 0.000
0.000 0.500 0.500
0.500 0.000 0.500
0.500 0.500 0.000


Y2MgMn (PBE-GGA, optimized geometry); final energy = -23.3 eV/cell; size of the total moment = 0.824 μB per atom; DOS(E_F) = 5.4 states/eV per cell
1.0
-2.991 -2.792 3.199
3.254 -4.022 -0.468
1.948 1.238 2.902
Mn Mg Y
1 1 2
Direct
0.000 0.500 0.500
0.500 0.000 0.500
0.000 0.000 0.000
0.500 0.500 0.000


Y2MgMn (PBE-GGA, optimized geometry); final energy = -23.2 eV/cell; size of the total moment = 0.778 μB per atom; DOS(E_F) = 4.6 states/eV per cell
1.0
6.150 0.010 0.019
5.144 3.371 0.019
1.986 0.594 4.869
Y Mg Mn
2 1 1
Direct
0.763 0.763 0.726
0.971 0.971 0.046
0.532 0.532 0.489
0.233 0.233 0.239


YMg6Mn (PBE-GGA, optimized geometry); size of the total moment = 0.446 μB per atom; DOS(E_F) = 5.4 states/eV per cell; excess energy over the best structure of this formula in the dataset = 0 meV/atom
1.0
3.197 -5.708 0.000
3.197 5.708 0.000
0.000 0.000 5.031
Mg Y Mn
6 1 1
Direct
0.674 0.326 0.000
0.837 0.163 0.500
0.677 0.827 0.000
0.835 0.679 0.500
0.173 0.323 0.000
0.321 0.165 0.500
0.318 0.682 0.500
0.165 0.835 0.000


YMg2Mn (PBE-GGA, optimized geometry); final energy = -18.0 eV/cell; size of the total moment = 0.865 μB per atom; DOS(E_F) = 4.3 states/eV per cell
1.0
-3.839 -3.236 0.168
1.833 -2.248 -1.418
2.433 -2.651 4.526
Y Mg Mn
1 2 1
Direct
0.500 0.750 0.750
0.000 0.084 0.024
0.000 0.416 0.476
0.500 0.250 0.250


YMg6Mn (PBE-GGA, optimized geometry); size of the total moment = 0.483 μB per atom; DOS(E_F) = 4.7 states/eV per cell; excess energy over the best structure of this formula in the dataset = 4 meV/atom
1.0
4.431 0.633 4.867
-4.436 4.653 -1.543
-3.293 -2.057 3.266
Mg Mn Y
6 1 1
Direct
0.821 0.676 0.500
0.157 0.843 0.000
0.165 0.326 0.000
0.324 0.179 0.500
0.674 0.835 0.000
0.690 0.310 0.000
0.849 0.151 0.500
0.319 0.681 0.500


- What is the DOS(E_F) in the third record?
  3.9 states/eV per cell